(1)
Compound: PmPu2Ni2Ge2
Source: the Alexandria database
Functional: PBE
Structure: optimized geometry

Values from the calculation:
Energy: -56.8 eV for the cell shown
ΔH_f (0 K): -0.38 eV per atom
M_tot: 0.00 μB per atom

Cell: 4.0607 4.0607 9.1033 Å, 77.11 77.11 60.00°
Closest atoms and distances in Å follow each position.
Positions (direct):
Ni (0.4283, 0.4283, 0.7150)  3 Ge 2.42
Ni (0.5717, 0.5717, 0.2850)  3 Ge 2.42
Ge (0.7391, 0.7391, 0.7828)  3 Ni 2.42
Ge (0.2609, 0.2609, 0.2172)  3 Ni 2.42
Pm (0.0000, 0.0000, 0.0000)  6 Ge 3.02
Pu (0.1524, 0.1524, 0.5427)  3 Pu 2.46
Pu (0.8476, 0.8476, 0.4573)  3 Pu 2.46

***

(2)
Compound: SrLiMg2
Source: the Alexandria database
Functional: PBE
Structure: optimized geometry

Values from the calculation:
Energy: -6.5 eV for the cell shown
ΔH_f (0 K): 0.06 eV per atom
Offset from the most stable computed form: 0.098 eV/atom
M_tot: 0.00 μB per atom

Cell: 5.1364 4.8791 4.8791 Å, 90.00 90.00 90.00°
Closest atoms and distances in Å follow each position.
Positions (direct):
Mg (0.0000, 0.5000, 0.5000)  4 Mg 3.45, 4 Li 3.54, 4 Sr 3.54
Mg (0.0000, 0.0000, 0.0000)  4 Mg 3.45, 4 Li 3.54, 4 Sr 3.54
Li (0.5000, 0.0000, 0.5000)  4 Sr 3.45, 8 Mg 3.54
Sr (0.5000, 0.5000, 0.0000)  4 Li 3.45, 8 Mg 3.54

***

(3)
Compound: Dy2B3Os2
Source: the Alexandria database
Functional: PBE
Structure: optimized geometry

Values from the calculation:
Energy: -52.9 eV for the cell shown
ΔH_f (0 K): -0.18 eV per atom
M_tot: 0.00 μB per atom

Cell: 3.6371 5.7671 6.0171 Å, 122.08 90.00 108.38°
Closest atoms and distances in Å follow each position.
Positions (direct):
B (0.6045, 0.2089, 0.3881)  1 B 1.94, 2 Os 2.10
B (0.5000, 0.0000, 0.0000)  2 B 1.94
B (0.3955, 0.7911, 0.6119)  1 B 1.94, 2 Os 2.10
Os (0.1582, 0.3164, 0.2876)  3 B 2.10-2.21
Os (0.8418, 0.6836, 0.7124)  3 B 2.10-2.21
Dy (0.8743, 0.7485, 0.2278)  6 B 2.80-3.03, 1 Dy 2.87, 3 Os 2.92-3.13
Dy (0.1257, 0.2515, 0.7722)  6 B 2.80-3.03, 1 Dy 2.87, 3 Os 2.92-3.13

***

(4)
Compound: CaLa4Co2
Source: the Alexandria database
Functional: PBE
Structure: optimized geometry

Values from the calculation:
Energy: -36.2 eV for the cell shown
ΔH_f (0 K): -0.04 eV per atom
M_tot: 0.00 μB per atom

Cell: 3.8896 6.2218 9.6005 Å, 100.83 101.69 90.00°
Closest atoms and distances in Å follow each position.
Positions (direct):
Co (0.7683, 0.8497, 0.5365)  4 La 2.70-2.74, 2 Co 2.87
Co (0.2317, 0.1503, 0.4635)  4 La 2.70-2.74, 2 Co 2.87
La (0.3696, 0.9329, 0.7391)  2 Co 2.70
La (0.1835, 0.6199, 0.3670)  2 Co 2.74
La (0.8165, 0.3801, 0.6330)  2 Co 2.74
La (0.6304, 0.0671, 0.2609)  2 Co 2.70
Ca (0.5000, 0.5000, 0.0000)  2 Ca 3.89, 8 La 3.89-3.98

***

(5)
Compound: Li8MgIn2
Source: the Alexandria database
Functional: PBE
Structure: optimized geometry

Values from the calculation:
Energy: -23.8 eV for the cell shown
ΔH_f (0 K): -0.13 eV per atom
Offset from the most stable computed form: 0.036 eV/atom
M_tot: 0.00 μB per atom

Cell: 4.9386 7.6353 8.1385 Å, 62.02 72.60 50.39°
Closest atoms and distances in Å follow each position.
Positions (direct):
Mg (0.5000, 0.0000, 0.0000)  6 Li 2.99-3.18
In (0.0000, 0.6802, 0.6397)  12 Li 2.85-3.01
In (0.0000, 0.3198, 0.3603)  12 Li 2.85-3.01
Li (0.5000, 0.7923, 0.4155)  6 Li 2.77-3.04, 4 In 2.95-2.97, 1 Mg 2.99
Li (0.7647, 0.4962, 0.0000)  2 Li 2.36-2.58
Li (0.5000, 0.2077, 0.5845)  6 Li 2.77-3.04, 4 In 2.95-2.97, 1 Mg 2.99
Li (0.2340, 0.9048, 0.7310)  5 Li 2.70-2.97, 3 In 2.99-3.01
Li (0.7660, 0.0952, 0.2690)  5 Li 2.70-2.97, 3 In 2.99-3.01
Li (0.2353, 0.5038, 0.0000)  2 Li 2.36-2.58
Li (0.2340, 0.6358, 0.2690)  5 Li 2.70-2.97, 3 In 2.99-3.01
Li (0.7660, 0.3642, 0.7310)  5 Li 2.70-2.97, 3 In 2.99-3.01

***

Question: Among the records above, which one has the lowest energy?
Answer: PmPu2Ni2Ge2